The following is a DFT calculation (PBE) of a relaxed structure of PtPb2Se.

Summary:
* energy: -4.44 eV/atom
* total magnetization: 0.00 μB per cell
* crystal system: monoclinic
* ρ: 11.3 Mg/m³
* energy relative to the elements, uncorrected: -78.7 kJ/mol of formula units
* density of states at the Fermi level: 0.205 states/eV/atom

a b c (Å): 4.2139 4.1872 6.1131
angles (deg): 70.04 90.00 90.00
Last column: nearest neighbours and their distance in Å.
Atoms (fractional coordinates):
Pt (0.0000, 0.7323, 0.4129)  5 Pb 2.79-3.00, 2 Se 3.12
Pb (0.0000, 0.9731, 0.9276)  1 Pt 2.79, 4 Se 3.04
Pb (0.5000, 0.2646, 0.3461)  4 Pt 2.99-3.00, 1 Se 3.06
Se (0.5000, 0.5301, 0.8134)  6 Pb 3.04-3.40, 2 Pt 3.12